*w*
{"formula": "GaB2Ir4", "functional": "GGA-PBE", "state": "optimized geometry", "lattice_angstrom": [[-0.689, -3.653, 2.551], [0.867, -2.642, -3.549], [5.223, -3.208, 0.800]], "species": ["Ir", "Ir", "Ir", "Ir", "B", "B", "Ga"], "fractional_positions": [[0.239, 0.239, 0.522], [0.761, 0.761, 0.478], [0.000, 0.500, 0.000], [0.500, 0.000, 0.000], [0.421, 0.421, 0.159], [0.579, 0.579, 0.841], [0.000, 0.000, 0.000]], "space_group": "No. 139", "n_ef_per_ev_cell": 7.44}

*x*
{"formula": "GaB2Ir4", "functional": "GGA-PBE", "state": "optimized geometry", "lattice_angstrom": [[-2.736, -3.130, 3.479], [-0.098, -4.860, -2.362], [7.254, 2.210, 1.599]], "species": ["B", "B", "B", "B", "Ir", "Ir", "Ir", "Ir", "Ir", "Ir", "Ir", "Ir", "Ga", "Ga"], "fractional_positions": [[0.625, 0.862, 0.310], [0.109, 0.321, 0.616], [0.702, 0.494, 0.383], [0.555, 0.312, 0.692], [0.834, 0.536, 0.168], [0.890, 0.047, 0.641], [0.894, 0.099, 0.294], [0.803, 0.600, 0.706], [0.363, 0.664, 0.828], [0.407, 0.245, 0.360], [0.465, 0.160, 0.870], [0.293, 0.597, 0.133], [0.029, 0.029, 0.000], [0.282, 0.783, 0.500]], "space_group": "No. 1", "n_ef_per_ev_cell": 7.35}

Tell me which of them is the least stable. Sure, it is *w*.